This record from Alexandria describes BaGe3Pd2 after structural relaxation. The functional is PBE.

The value obtained for the total energy is -4.86 eV per atom. As for the crystal system: orthorhombic. As for the theoretical density: 7.0 Mg/m³.

The structure belongs to space group Cmcm (No. 63); the cell edges are 8.461, 9.800 and 6.475 Å and the angles 90.00°, 90.00° and 90.00°. The distinct sites, in fractional coordinates, are Ba at (0.000, 0.203, 0.250), Ge at (0.000, 0.369, 0.750), Ge at (0.149, 0.120, 0.750) and Pd at (0.175, 0.500, 0.000).